i) A relaxed structure of BeSbCl2. Source: Alexandria via LeMat-Bulk, functional PBE-GGA.

Its total magnetic moment is 0.00 μB/f.u. Its crystal system is trigonal.

The structure belongs to space group R-3m (No. 166, hexagonal axes); the cell edges are 3.2139, 3.2139 and 36.1029 Å and the angles 90.00°, 90.00° and 120.00°. The inequivalent atoms are Be at (0.0000, 0.0000, 0.0000), Sb at (0.0000, 0.0000, 0.5000) and Cl at (0.0000, 0.0000, 0.3684).

ii) A relaxed structure of BeSbCl2. Source: Alexandria via LeMat-Bulk, functional PBE-GGA.

Its total magnetic moment is 0.00 μB/f.u. Its crystal system is orthorhombic.

The structure belongs to space group Pmmm (No. 47); the cell edges are 3.2106, 4.3161 and 6.0824 Å and the angles 90.00°, 90.00° and 90.00°. The inequivalent atoms are Be at (0.0000, 0.0000, 0.0000), Sb at (0.0000, 0.0000, 0.5000) and Cl at (0.5000, 0.5000, 0.2441).

Most favorable structure: i). The second most favorable one is 1117 meV per atom above it.

i) A relaxed structure of BeSbCl2. Source: Alexandria via LeMat-Bulk, functional PBE-GGA.

Its total magnetic moment is 0.00 μB/f.u. Its crystal system is monoclinic.

The structure belongs to space group Pm (No. 6); the cell edges are 5.2075, 3.2906 and 5.4624 Å and the angles 90.00°, 101.42° and 90.00°. The inequivalent atoms are Be at (0.0000, 0.0000, 0.0000), Sb at (0.3455, 0.5000, 0.3065), Cl at (0.0385, 0.0000, 0.6531) and Cl at (0.6956, 0.5000, 0.0113).

ii) A relaxed structure of BeSbCl2. Source: Alexandria via LeMat-Bulk, functional PBE-GGA.

Its total magnetic moment is 0.00 μB/f.u. Its crystal system is tetragonal.

The structure belongs to space group P4/mmm (No. 123); the cell edges are 4.3813, 4.3813 and 4.3309 Å and the angles 90.00°, 90.00° and 90.00°. The inequivalent atoms are Be at (0.0000, 0.0000, 0.0000), Sb at (0.5000, 0.5000, 0.0000) and Cl at (0.0000, 0.5000, 0.5000).

iii) A relaxed structure of BeSbCl2. Source: Alexandria via LeMat-Bulk, functional PBE-GGA.

Its total magnetic moment is 0.00 μB/f.u. Its crystal system is orthorhombic.

The structure belongs to space group Cmmm (No. 65); the cell edges are 6.0035, 6.7089 and 4.1822 Å and the angles 90.00°, 90.00° and 90.00°. The inequivalent atoms are Be at (0.0000, 0.0000, 0.0000), Sb at (0.0000, 0.5000, 0.0000) and Cl at (0.0000, 0.2258, 0.5000).

iv) A relaxed structure of BeSbCl2. Source: Alexandria via LeMat-Bulk, functional PBE-GGA.

Its total magnetic moment is 0.00 μB/f.u. Its crystal system is orthorhombic.

The structure belongs to space group Immm (No. 71); the cell edges are 2.9390, 8.4503 and 12.0382 Å and the angles 90.00°, 90.00° and 90.00°. The inequivalent atoms are Be at (0.0000, 0.0000, 0.0000), Sb at (0.0000, 0.0000, 0.5000) and Cl at (0.0000, 0.5000, 0.3781).

Most favorable structure: iv). The second most favorable one is 19 meV per atom above it.

i) A relaxed structure of ScBeCl2. Source: Alexandria via LeMat-Bulk, functional PBE-GGA.

Its total magnetic moment is 0.95 μB/f.u. Its crystal system is cubic.

The structure belongs to space group Fm-3m (No. 225); the cell edges are 6.5882, 6.5882 and 6.5882 Å and the angles 90.00°, 90.00° and 90.00°. The inequivalent atoms are Sc at (0.0000, 0.0000, 0.0000), Be at (0.0000, 0.0000, 0.5000) and Cl at (0.2500, 0.2500, 0.2500).

ii) A relaxed structure of ScBeCl2. Source: Alexandria via LeMat-Bulk, functional PBE-GGA.

Its total magnetic moment is 0.00 μB/f.u. Its crystal system is trigonal.

The structure belongs to space group R-3m (No. 166, hexagonal axes); the cell edges are 3.2830, 3.2830 and 24.6370 Å and the angles 90.00°, 90.00° and 120.00°. The inequivalent atoms are Sc at (0.0000, 0.0000, 0.0000), Be at (0.0000, 0.0000, 0.5000) and Cl at (0.0000, 0.0000, 0.4038).

iii) A relaxed structure of ScBeCl2. Source: Alexandria via LeMat-Bulk, functional PBE-GGA.

Its total magnetic moment is 0.00 μB/f.u. Its crystal system is orthorhombic.

The structure belongs to space group Pmmm (No. 47); the cell edges are 3.2803, 4.0100 and 5.4781 Å and the angles 90.00°, 90.00° and 90.00°. The inequivalent atoms are Sc at (0.0000, 0.0000, 0.0000), Be at (0.5000, 0.0000, 0.5000), Cl at (0.0000, 0.5000, 0.5000) and Cl at (0.5000, 0.5000, 0.0000).

iv) A relaxed structure of ScBeCl2. Source: Alexandria via LeMat-Bulk, functional PBE-GGA.

Its total magnetic moment is 0.45 μB/f.u. Its crystal system is monoclinic.

The structure belongs to space group Pm (No. 6); the cell edges are 3.4089, 3.2603 and 8.2438 Å and the angles 90.00°, 90.10° and 90.00°. The inequivalent atoms are Sc at (0.0000, 0.0000, 0.0000), Be at (0.5009, 0.5000, 0.1996), Cl at (0.5024, 0.0000, 0.3491) and Cl at (0.9987, 0.5000, 0.7735).

Most favorable structure: iv). The second most favorable one is 290 meV per atom above it.

i) A relaxed structure of ScBeCl2. Source: Alexandria via LeMat-Bulk, functional PBE-GGA.

Its total magnetic moment is 0.00 μB/f.u. Its crystal system is orthorhombic.

The structure belongs to space group Cmm2 (No. 35); the cell edges are 3.4378, 5.8856 and 8.6705 Å and the angles 90.00°, 90.00° and 90.00°. The inequivalent atoms are Sc at (0.0000, 0.0000, 0.0000), Be at (0.0000, 0.5000, 0.2234), Cl at (0.0000, 0.0000, 0.3581) and Cl at (0.0000, 0.5000, 0.7882).

ii) A relaxed structure of ScBeCl2. Source: Alexandria via LeMat-Bulk, functional PBE-GGA.

Its total magnetic moment is 0.00 μB/f.u. Its crystal system is monoclinic.

The structure belongs to space group P2/m (No. 10); the cell edges are 3.5707, 4.2297 and 5.2742 Å and the angles 90.00°, 91.75° and 90.00°. The inequivalent atoms are Sc at (0.0000, 0.0000, 0.0000), Be at (0.5000, 0.0000, 0.5000) and Cl at (0.2244, 0.5000, 0.2479).

iii) A relaxed structure of ScBeCl2. Source: Alexandria via LeMat-Bulk, functional PBE-GGA.

Its total magnetic moment is 0.45 μB/f.u. Its crystal system is trigonal.

The structure belongs to space group R-3m (No. 166, hexagonal axes); the cell edges are 3.3753, 3.3753 and 30.9270 Å and the angles 90.00°, 90.00° and 120.00°. The inequivalent atoms are Sc at (0.0000, 0.0000, 0.0000), Be at (0.0000, 0.0000, 0.5000) and Cl at (0.0000, 0.0000, 0.2802).

Most favorable structure: i). The second most favorable one is 279 meV per atom above it.

i) A relaxed structure of Sc2BeCl. Source: Alexandria via LeMat-Bulk, functional PBE-GGA.

Its total magnetic moment is 0.57 μB/f.u. Its crystal system is orthorhombic.

The structure belongs to space group Imm2 (No. 44); the cell edges are 3.2252, 3.4377 and 13.8361 Å and the angles 90.00°, 90.00° and 90.00°. The inequivalent atoms are Sc at (0.0000, 0.0000, 0.0000), Sc at (0.0000, 0.5000, 0.2796), Be at (0.0000, 0.5000, 0.8609) and Cl at (0.0000, 0.0000, 0.6085).

ii) A relaxed structure of Sc2BeCl. Source: Alexandria via LeMat-Bulk, functional PBE-GGA.

Its total magnetic moment is 0.00 μB/f.u. Its crystal system is tetragonal.

The structure belongs to space group P4/mmm (No. 123); the cell edges are 3.1322, 3.1322 and 7.3997 Å and the angles 90.00°, 90.00° and 90.00°. The inequivalent atoms are Sc at (0.0000, 0.0000, 0.2123), Be at (0.5000, 0.5000, 0.0000) and Cl at (0.5000, 0.5000, 0.5000).

iii) A relaxed structure of Sc2BeCl. Source: Alexandria via LeMat-Bulk, functional PBE-GGA.

Its total magnetic moment is 0.00 μB/f.u. Its crystal system is orthorhombic.

The structure belongs to space group Pmmm (No. 47); the cell edges are 3.1592, 3.2869 and 7.3952 Å and the angles 90.00°, 90.00° and 90.00°. The inequivalent atoms are Sc at (0.0000, 0.0000, 0.2048), Be at (0.5000, 0.5000, 0.0000) and Cl at (0.5000, 0.0000, 0.5000).

Most favorable structure: iii). The second most favorable one is 125 meV per atom above it.